VASP calculation (GGA-PBE) on a relaxed structure of LaMn2CdHg.

Cell and atoms, written as POSCAR:
```
LaMn2CdHg
1.0
-0.408 5.330 -0.400
-4.101 -0.055 3.452
3.921 0.650 4.669
Mn La Cd Hg
2 1 1 1
direct
0.500 0.000 0.000 Mn
0.000 0.500 0.000 Mn
0.000 0.000 0.000 La
0.000 0.000 0.500 Cd
0.500 0.500 0.500 Hg
```

Calculated values
DFT formation energy in eV/f.u.: 6.4
Space group: P4/mmm (123)
Density of states at the Fermi level in states/eV/cell: 3.2
Magnetization in μB/cell: 7.26